<i>
The following is a DFT calculation (PBEsol) of a relaxed structure of MnAsCl.

Volume (Å³/atom): 20.036
DOS at the Fermi energy (states/eV/atom): 0.464
Crystal system: cubic
Mass density (Mg/m³): 4.57

a b c (Å): 6.218 6.218 6.218
angles (deg): 90.00 90.00 90.00
Space group F-43m (No. 216)
Unique sites:
Mn 0.000 0.000 0.000
As 0.000 0.000 0.500
Cl 0.250 0.250 0.250

---

<ii>
The following is a DFT calculation (PBEsol) of a relaxed structure of MnAsCl.

Volume (Å³/atom): 19.129
DOS at the Fermi energy (states/eV/atom): 0.438
Crystal system: orthorhombic
Mass density (Mg/m³): 4.78

a b c (Å): 3.509 5.003 13.074
angles (deg): 90.00 90.00 90.00
Space group Fmm2 (No. 42)
Unique sites:
Mn 0.000 0.000 0.000
As 0.000 0.000 0.630
Cl 0.000 0.000 0.377

---

Stability ranking, top and bottom: <ii> is the most stable and <i> is the least stable.

---

<i>
The following is a DFT calculation (PBEsol) of a relaxed structure of MnAs2Cl.

Volume (Å³/atom): 20.213
DOS at the Fermi energy (states/eV/atom): 0.505
Crystal system: orthorhombic
Mass density (Mg/m³): 4.93

a b c (Å): 3.524 5.438 8.438
angles (deg): 90.00 90.00 90.00
Space group Cmm2 (No. 35)
Unique sites:
Mn 0.000 0.000 0.000
As 0.000 0.000 0.561
As 0.000 0.500 0.778
Cl 0.000 0.500 0.189

---

<ii>
The following is a DFT calculation (PBEsol) of a relaxed structure of MnAs2Cl.

Volume (Å³/atom): 18.344
DOS at the Fermi energy (states/eV/atom): 0.447
Crystal system: tetragonal
Mass density (Mg/m³): 5.44

a b c (Å): 3.230 3.230 7.034
angles (deg): 90.00 90.00 90.00
Space group P4mm (No. 99)
Unique sites:
Mn 0.000 0.000 0.000
As 0.000 0.000 0.392
As 0.500 0.500 0.198
Cl 0.500 0.500 0.782

---

Stability ranking, top and bottom: <ii> is the most stable and <i> is the least stable.

---

<i>
The following is a DFT calculation (PBEsol) of a relaxed structure of MoAsCl2.

Volume (Å³/atom): 16.293
DOS at the Fermi energy (states/eV/atom): 0.720
Crystal system: tetragonal
Mass density (Mg/m³): 6.16

a b c (Å): 4.236 4.236 7.263
angles (deg): 90.00 90.00 90.00
Space group I-4m2 (No. 119)
Unique sites:
Mo 0.000 0.000 0.000
As 0.000 0.500 0.250
Cl 0.000 0.000 0.500
Cl 0.000 0.500 0.750

---

<ii>
The following is a DFT calculation (PBEsol) of a relaxed structure of MoAsCl2.

Volume (Å³/atom): 21.241
DOS at the Fermi energy (states/eV/atom): 0.510
Crystal system: orthorhombic
Mass density (Mg/m³): 4.73

a b c (Å): 2.855 4.632 12.849
angles (deg): 90.00 90.00 90.00
Space group Imm2 (No. 44)
Unique sites:
Mo 0.000 0.000 0.000
As 0.000 0.500 0.334
Cl 0.000 0.000 0.497
Cl 0.000 0.500 0.651

---

<iii>
The following is a DFT calculation (PBEsol) of a relaxed structure of MoAsCl2.

Volume (Å³/atom): 22.040
DOS at the Fermi energy (states/eV/atom): 0.360
Crystal system: tetragonal
Mass density (Mg/m³): 4.55

a b c (Å): 3.217 3.217 8.518
angles (deg): 90.00 90.00 90.00
Space group P4mm (No. 99)
Unique sites:
Mo 0.000 0.000 0.000
As 0.500 0.500 0.869
Cl 0.000 0.000 0.261
Cl 0.500 0.500 0.612

---

Stability ranking, top and bottom: <iii> is the most stable and <i> is the least stable.

---

<i>
The following is a DFT calculation (PBEsol) of a relaxed structure of Mo2AsCl.

Volume (Å³/atom): 15.811
DOS at the Fermi energy (states/eV/atom): 1.647
Crystal system: cubic
Mass density (Mg/m³): 7.94

a b c (Å): 6.325 6.325 6.325
angles (deg): 90.00 90.00 90.00
Space group F-43m (No. 216)
Unique sites:
Mo 0.000 0.000 0.000
Mo 0.250 0.250 0.250
As 0.000 0.000 0.500
Cl 0.250 0.250 0.750

---

<ii>
The following is a DFT calculation (PBEsol) of a relaxed structure of Mo2AsCl.

Volume (Å³/atom): 15.081
DOS at the Fermi energy (states/eV/atom): 0.956
Crystal system: orthorhombic
Mass density (Mg/m³): 8.32

a b c (Å): 3.019 4.205 9.503
angles (deg): 90.00 90.00 90.00
Space group Imm2 (No. 44)
Unique sites:
Mo 0.000 0.000 0.000
Mo 0.000 0.500 0.234
As 0.000 0.500 0.738
Cl 0.000 0.000 0.518

---

Stability ranking, top and bottom: <ii> is the most stable and <i> is the least stable.